1.
A plane-wave DFT calculation with PBE was carried out for a relaxed Bi4BrO6 crystal.

Cell lengths 7.5165, 7.5165, 3.4643 Å; angles 90.00, 90.00, 120.00 degrees
Last column: nearest neighbours and their distance in Å.
Sites, in units of the cell vectors:
Bi1 0.0000 0.0000 0.0000  9 O 2.44-2.73
Bi2 0.0403 0.5201 0.5000  6 O 2.48-2.53
Bi3 0.4799 0.5201 0.5000  6 O 2.48-2.53
Bi4 0.4799 0.9597 0.5000  6 O 2.48-2.53
Br1 0.6667 0.3333 0.0000  6 Bi 2.99, 6 O 3.14
O1 0.2094 0.4189 0.0000  5 Bi 2.48-2.73
O2 0.2094 0.7906 0.0000  5 Bi 2.48-2.73
O3 0.2645 0.1323 0.5000  4 Bi 2.44-2.53
O4 0.5811 0.7906 0.0000  5 Bi 2.48-2.73
O5 0.8677 0.1323 0.5000  4 Bi 2.44-2.53
O6 0.8677 0.7355 0.5000  4 Bi 2.44-2.53

- raw formation energy (meV/atom) = -786
- crystal system = hexagonal

=====

2.
A plane-wave DFT calculation with PBE was carried out for a relaxed BiBrO2 crystal.

Cell lengths 4.4375, 4.4375, 4.4375 Å; angles 60.00, 60.00, 60.00 degrees
Last column: nearest neighbours and their distance in Å.
Sites, in units of the cell vectors:
Bi1 0.0000 0.0000 0.0000  8 O 2.72
Br1 0.5000 0.5000 0.5000  8 O 2.72
O1 0.2500 0.2500 0.2500  4 Br 2.72, 4 Bi 2.72
O2 0.7500 0.7500 0.7500  4 Br 2.72, 4 Bi 2.72

- raw formation energy (meV/atom) = 137
- energy above the lowest structure with this stoichiometry (meV per atom) = 773.0
- crystal system = cubic

=====

3.
A plane-wave DFT calculation with PBE was carried out for a relaxed Bi2BrO2 crystal.

Cell lengths 7.8160, 7.8160, 3.1598 Å; angles 90.00, 90.00, 90.00 degrees
Last column: nearest neighbours and their distance in Å.
Sites, in units of the cell vectors:
Bi1 0.1407 0.3593 0.0000  4 O 2.54
Bi2 0.3593 0.8593 0.0000  4 O 2.54
Bi3 0.6407 0.1407 0.0000  4 O 2.54
Bi4 0.8593 0.6407 0.0000  4 O 2.54
Br1 0.0000 0.0000 0.5000  4 O 3.16, 2 Br 3.16, 8 Bi 3.40
Br2 0.5000 0.5000 0.5000  4 O 3.16, 2 Br 3.16, 8 Bi 3.40
O1 0.1114 0.6114 0.5000  1 O 2.46, 4 Bi 2.54
O2 0.3886 0.1114 0.5000  1 O 2.46, 4 Bi 2.54
O3 0.6114 0.8886 0.5000  1 O 2.46, 4 Bi 2.54
O4 0.8886 0.3886 0.5000  1 O 2.46, 4 Bi 2.54

- raw formation energy (meV/atom) = -349
- energy above the lowest structure with this stoichiometry (meV per atom) = 606.1
- crystal system = tetragonal

=====

4.
A plane-wave DFT calculation with PBE was carried out for a relaxed Bi3BrO crystal.

Cell lengths 5.0729, 5.0729, 5.0729 Å; angles 90.00, 90.00, 90.00 degrees
Last column: nearest neighbours and their distance in Å.
Sites, in units of the cell vectors:
Bi1 0.0000 0.0000 0.5000  2 O 2.54
Bi2 0.0000 0.5000 0.0000  2 O 2.54
Bi3 0.5000 0.0000 0.0000  2 O 2.54
Br1 0.5000 0.5000 0.5000  12 Bi 3.59
O1 0.0000 0.0000 0.0000  6 Bi 2.54

- raw formation energy (meV/atom) = 19
- energy above the lowest structure with this stoichiometry (meV per atom) = 0.0
- crystal system = cubic

=====

5.
A plane-wave DFT calculation with PBE was carried out for a relaxed BiBr3O crystal.

Cell lengths 5.7147, 5.7147, 5.7147 Å; angles 90.00, 90.00, 90.00 degrees
Last column: nearest neighbours and their distance in Å.
Sites, in units of the cell vectors:
Bi1 0.0000 0.0000 0.0000  6 Br 2.86
Br1 0.0000 0.0000 0.5000  2 Bi 2.86
Br2 0.0000 0.5000 0.0000  2 Bi 2.86
Br3 0.5000 0.0000 0.0000  2 Bi 2.86
O1 0.5000 0.5000 0.5000  12 Br 4.04

- raw formation energy (meV/atom) = 173
- energy above the lowest structure with this stoichiometry (meV per atom) = 0.0
- crystal system = cubic

=====

6.
A plane-wave DFT calculation with PBE was carried out for a relaxed BiBrO2 crystal.

Cell lengths 6.6011, 6.6011, 6.6011 Å; angles 33.18, 33.18, 33.18 degrees
Last column: nearest neighbours and their distance in Å.
Sites, in units of the cell vectors:
Bi1 0.0000 0.0000 0.0000  6 O 2.41
Br1 0.5000 0.5000 0.5000  2 O 2.09
O1 0.3884 0.3884 0.3884  1 Br 2.09
O2 0.6116 0.6116 0.6116  1 Br 2.09

- raw formation energy (meV/atom) = -636
- energy above the lowest structure with this stoichiometry (meV per atom) = 0.0
- crystal system = trigonal

=====

7.
A plane-wave DFT calculation with PBE was carried out for a relaxed Bi3BrO3 crystal.

Cell lengths 8.5598, 8.5598, 8.5598 Å; angles 47.85, 47.85, 47.85 degrees
Last column: nearest neighbours and their distance in Å.
Sites, in units of the cell vectors:
Bi1 0.1116 0.8150 0.3839  3 O 2.23-2.49
Bi2 0.1850 0.6161 0.8884  3 O 2.23-2.49
Bi3 0.3839 0.1116 0.8150  3 O 2.23-2.49
Bi4 0.6161 0.8884 0.1850  3 O 2.23-2.49
Bi5 0.8150 0.3839 0.1116  3 O 2.23-2.49
Bi6 0.8884 0.1850 0.6161  3 O 2.23-2.49
Br1 0.3316 0.3316 0.3316  6 Bi 3.43, 3 O 3.59
Br2 0.6684 0.6684 0.6684  6 Bi 3.43, 3 O 3.59
O1 0.1021 0.5130 0.7798  3 Bi 2.23-2.49
O2 0.2202 0.8979 0.4870  3 Bi 2.23-2.49
O3 0.4870 0.2202 0.8979  3 Bi 2.23-2.49
O4 0.5130 0.7798 0.1021  3 Bi 2.23-2.49
O5 0.7798 0.1021 0.5130  3 Bi 2.23-2.49
O6 0.8979 0.4870 0.2202  3 Bi 2.23-2.49

- raw formation energy (meV/atom) = -920
- crystal system = trigonal

=====

8.
A plane-wave DFT calculation with PBE was carried out for a relaxed BiBrO crystal.

Cell lengths 3.9436, 3.9436, 9.1713 Å; angles 90.00, 90.00, 90.00 degrees
Last column: nearest neighbours and their distance in Å.
Sites, in units of the cell vectors:
Bi1 0.2500 0.2500 0.1383  4 O 2.34
Bi2 0.7500 0.7500 0.8617  4 O 2.34
Br1 0.2500 0.2500 0.6866  4 Bi 3.22, 4 O 3.49
Br2 0.7500 0.7500 0.3134  4 Bi 3.22, 4 O 3.49
O1 0.2500 0.7500 0.0000  4 Bi 2.34
O2 0.7500 0.2500 0.0000  4 Bi 2.34

- raw formation energy (meV/atom) = -1136
- energy above the lowest structure with this stoichiometry (meV per atom) = 0.0
- crystal system = tetragonal

=====

9.
A plane-wave DFT calculation with PBE was carried out for a relaxed BiBrO3 crystal.

Cell lengths 4.2509, 4.2509, 4.2509 Å; angles 90.00, 90.00, 90.00 degrees
Last column: nearest neighbours and their distance in Å.
Sites, in units of the cell vectors:
Bi1 0.0000 0.0000 0.0000  6 O 2.13
Br1 0.5000 0.5000 0.5000  12 O 3.01
O1 0.0000 0.0000 0.5000  2 Bi 2.13
O2 0.0000 0.5000 0.0000  2 Bi 2.13
O3 0.5000 0.0000 0.0000  2 Bi 2.13

- raw formation energy (meV/atom) = 62
- crystal system = cubic

=====

10.
A plane-wave DFT calculation with PBE was carried out for a relaxed BiBrO3 crystal.

Cell lengths 4.1226, 4.1226, 4.1226 Å; angles 90.00, 90.00, 90.00 degrees
Last column: nearest neighbours and their distance in Å.
Sites, in units of the cell vectors:
Bi1 0.0000 0.0000 0.0000  12 O 2.92
Br1 0.5000 0.5000 0.5000  6 O 2.06
O1 0.0000 0.5000 0.5000  2 Br 2.06
O2 0.5000 0.0000 0.5000  2 Br 2.06
O3 0.5000 0.5000 0.0000  2 Br 2.06

- raw formation energy (meV/atom) = 283
- crystal system = cubic

=====

11.
A plane-wave DFT calculation with PBE was carried out for a relaxed BiBr3O crystal.

Cell lengths 4.8557, 4.8557, 4.8557 Å; angles 90.00, 90.00, 90.00 degrees
Last column: nearest neighbours and their distance in Å.
Sites, in units of the cell vectors:
Bi1 0.0000 0.0000 0.0000  12 Br 3.43
Br1 0.0000 0.5000 0.5000  2 O 2.43
Br2 0.5000 0.0000 0.5000  2 O 2.43
Br3 0.5000 0.5000 0.0000  2 O 2.43
O1 0.5000 0.5000 0.5000  6 Br 2.43

- raw formation energy (meV/atom) = 361
- energy above the lowest structure with this stoichiometry (meV per atom) = 187.9
- crystal system = cubic

=====

12.
A plane-wave DFT calculation with PBE was carried out for a relaxed Bi2BrO2 crystal.

Cell lengths 4.1914, 4.1914, 6.5696 Å; angles 108.37, 108.37, 90.10 degrees
Last column: nearest neighbours and their distance in Å.
Sites, in units of the cell vectors:
Bi1 0.1570 0.1570 0.3121  4 O 2.37
Bi2 0.8430 0.8430 0.6879  4 O 2.37
Br1 0.5000 0.5000 0.0000  8 Bi 3.47-3.50, 8 O 3.61-3.62
O1 0.2492 0.7508 0.5000  4 Bi 2.37
O2 0.7508 0.2492 0.5000  4 Bi 2.37

- raw formation energy (meV/atom) = -955
- energy above the lowest structure with this stoichiometry (meV per atom) = 0.0
- crystal system = monoclinic

=====

13.
A plane-wave DFT calculation with PBE was carried out for a relaxed Bi4Br2O5 crystal.

Cell lengths 11.1027, 5.7386, 14.7835 Å; angles 90.00, 98.44, 90.00 degrees
Last column: nearest neighbours and their distance in Å.
Sites, in units of the cell vectors:
Bi1 0.0636 0.0000 0.2193  3 O 2.21-2.36
Bi2 0.0966 0.9791 0.9584  3 O 2.22-2.34
Bi3 0.1477 0.0916 0.6972  3 O 2.13-2.15
Bi4 0.2272 0.5673 0.3733  3 O 2.22-2.29
Bi5 0.2331 0.5306 0.1185  4 O 2.22-2.47
Bi6 0.2890 0.5914 0.8477  3 O 2.12-2.15
Bi7 0.4056 0.0747 0.2934  4 O 2.24-2.34
Bi8 0.4219 0.0795 0.5424  4 O 2.28-2.31
Bi9 0.5781 0.5795 0.4576  4 O 2.28-2.31
Bi10 0.5944 0.5747 0.7066  4 O 2.24-2.34
Bi11 0.7110 0.0914 0.1523  3 O 2.12-2.15
Bi12 0.7669 0.0306 0.8815  4 O 2.22-2.47
Bi13 0.7728 0.0673 0.6267  3 O 2.22-2.29
Bi14 0.8523 0.5916 0.3028  3 O 2.13-2.15
Bi15 0.9034 0.4791 0.0416  3 O 2.22-2.34
Bi16 0.9364 0.5000 0.7807  3 O 2.21-2.36
Br1 0.1257 0.1085 0.4501  3 Bi 3.14-3.44, 2 O 3.44-3.51
Br2 0.2854 0.5877 0.6205  7 Bi 3.35-3.62, 4 O 3.60-3.71
Br3 0.3755 0.1073 0.0635  3 Bi 3.07-3.37
Br4 0.4469 0.0872 0.7732  7 Bi 3.35-3.69, 5 O 3.67-3.72
Br5 0.5531 0.5872 0.2268  7 Bi 3.35-3.69, 5 O 3.67-3.72
Br6 0.6245 0.6073 0.9365  3 Bi 3.07-3.37
Br7 0.7146 0.0877 0.3795  7 Bi 3.35-3.62, 4 O 3.60-3.71
Br8 0.8743 0.6085 0.5499  3 Bi 3.14-3.44, 2 O 3.44-3.51
O1 0.0410 0.6473 0.2977  3 Bi 2.13-2.36
O2 0.0760 0.2903 0.0879  2 Bi 2.22
O3 0.0763 0.7912 0.0956  3 Bi 2.21-2.34
O4 0.1473 0.8385 0.8036  2 Bi 2.14-2.15
O5 0.1524 0.3378 0.8070  2 Bi 2.12-2.15
O6 0.2054 0.6338 0.9676  3 Bi 2.13-2.31
O7 0.2451 0.3128 0.2634  3 Bi 2.22-2.47
O8 0.2520 0.8212 0.2581  3 Bi 2.24-2.32
O9 0.4190 0.8368 0.4200  3 Bi 2.28-2.31
O10 0.4221 0.3219 0.4204  3 Bi 2.28-2.34
O11 0.5779 0.8219 0.5796  3 Bi 2.28-2.34
O12 0.5810 0.3368 0.5800  3 Bi 2.28-2.31
O13 0.7480 0.3212 0.7419  3 Bi 2.24-2.32
O14 0.7549 0.8128 0.7366  3 Bi 2.22-2.47
O15 0.7946 0.1338 0.0324  3 Bi 2.13-2.31
O16 0.8476 0.8378 0.1930  2 Bi 2.12-2.15
O17 0.8527 0.3385 0.1964  2 Bi 2.14-2.15
O18 0.9237 0.2912 0.9044  3 Bi 2.21-2.34
O19 0.9240 0.7903 0.9121  2 Bi 2.22
O20 0.9590 0.1473 0.7023  3 Bi 2.13-2.36

- raw formation energy (meV/atom) = -1194
- crystal system = monoclinic

=====

14.
A plane-wave DFT calculation with PBE was carried out for a relaxed BiBrO2 crystal.

Cell lengths 6.5942, 6.5942, 6.5942 Å; angles 120.24, 120.24, 89.59 degrees
Last column: nearest neighbours and their distance in Å.
Sites, in units of the cell vectors:
Bi1 0.0000 0.0000 0.0000  4 O 2.10
Bi2 0.7500 0.2500 0.5000  4 O 2.10
Br1 0.2500 0.7500 0.5000  4 O 3.36
Br2 0.5000 0.5000 0.0000  4 O 3.36
O1 0.3750 0.2155 0.3405  2 Bi 2.10
O2 0.7845 0.1250 0.1595  2 Bi 2.10
O3 0.8750 0.0345 0.6595  2 Bi 2.10
O4 0.9655 0.6250 0.8405  2 Bi 2.10

- raw formation energy (meV/atom) = -292
- energy above the lowest structure with this stoichiometry (meV per atom) = 344.3
- crystal system = tetragonal

=====

15.
A plane-wave DFT calculation with PBE was carried out for a relaxed BiPBrO2 crystal.

Cell lengths 4.1272, 4.1272, 4.9844 Å; angles 90.00, 90.00, 90.00 degrees
Last column: nearest neighbours and their distance in Å.
Sites, in units of the cell vectors:
Bi1 0.0000 0.0000 0.0000  4 P 2.92, 8 O 3.24
P1 0.5000 0.5000 0.0000  2 Br 2.49
Br1 0.5000 0.5000 0.5000  4 O 2.06
O1 0.0000 0.5000 0.5000  2 Br 2.06
O2 0.5000 0.0000 0.5000  2 Br 2.06

- raw formation energy (meV/atom) = 493
- energy above the lowest structure with this stoichiometry (meV per atom) = 424.4
- crystal system = tetragonal

=====

16.
A plane-wave DFT calculation with PBE was carried out for a relaxed BiPBrO2 crystal.

Cell lengths 4.1275, 4.1275, 5.9295 Å; angles 90.00, 90.00, 90.00 degrees
Last column: nearest neighbours and their distance in Å.
Sites, in units of the cell vectors:
Bi1 0.0000 0.0000 0.0000  4 O 2.06
P1 0.0000 0.0000 0.5000  4 Br 2.92, 2 Bi 2.96
Br1 0.5000 0.5000 0.5000  4 P 2.92
O1 0.0000 0.5000 0.0000  2 Bi 2.06
O2 0.5000 0.0000 0.0000  2 Bi 2.06

- raw formation energy (meV/atom) = 68
- energy above the lowest structure with this stoichiometry (meV per atom) = 0.0
- crystal system = tetragonal

=====

17.
A plane-wave DFT calculation with PBE was carried out for a relaxed BiPBrO4 crystal.

Cell lengths 6.4710, 6.4710, 6.6590 Å; angles 98.73, 98.73, 61.02 degrees
Last column: nearest neighbours and their distance in Å.
Sites, in units of the cell vectors:
Bi1 0.2037 0.2037 0.3174  4 O 2.21-2.46
Bi2 0.7963 0.7963 0.6826  4 O 2.21-2.46
P1 0.1358 0.1358 0.7580  4 O 1.53-1.58
P2 0.8642 0.8642 0.2420  4 O 1.53-1.58
Br1 0.4810 0.4810 0.8252  1 Br 2.29
Br2 0.5190 0.5190 0.1748  1 Br 2.29
O1 0.0023 0.0023 0.2442  1 P 1.54
O2 0.0138 0.6395 0.3668  1 P 1.58
O3 0.2074 0.2074 0.9767  1 P 1.53
O4 0.3605 0.9862 0.6332  1 P 1.58
O5 0.6395 0.0138 0.3668  1 P 1.58
O6 0.7926 0.7926 0.0233  1 P 1.53
O7 0.9862 0.3605 0.6332  1 P 1.58
O8 0.9977 0.9977 0.7558  1 P 1.54

- raw formation energy (meV/atom) = -1541
- crystal system = monoclinic

=====

18.
A plane-wave DFT calculation with PBE was carried out for a relaxed PaBiBrO4 crystal.

Cell lengths 7.0288, 7.0288, 7.3325 Å; angles 103.52, 103.52, 62.19 degrees
Last column: nearest neighbours and their distance in Å.
Sites, in units of the cell vectors:
Pa1 0.1204 0.1204 0.2239  4 O 2.03-2.20
Pa2 0.8796 0.8796 0.7761  4 O 2.03-2.20
Bi1 0.2385 0.2385 0.8042  4 O 2.12-2.28
Bi2 0.7615 0.7615 0.1958  4 O 2.12-2.28
Br1 0.4570 0.4570 0.7186  1 Bi 2.87
Br2 0.5430 0.5430 0.2814  1 Bi 2.87
O1 0.0373 0.4309 0.1936  1 Pa 2.03, 1 Bi 2.23
O2 0.0687 0.0687 0.8867  2 Pa 2.20-2.38, 1 Bi 2.28
O3 0.1459 0.1459 0.5130  1 Pa 2.06, 1 Bi 2.12
O4 0.4309 0.0373 0.1936  1 Pa 2.03, 1 Bi 2.23
O5 0.5691 0.9627 0.8064  1 Pa 2.03, 1 Bi 2.23
O6 0.8541 0.8541 0.4870  1 Pa 2.06, 1 Bi 2.12
O7 0.9313 0.9313 0.1133  2 Pa 2.20-2.38, 1 Bi 2.28
O8 0.9627 0.5691 0.8064  1 Pa 2.03, 1 Bi 2.23

- raw formation energy (meV/atom) = -2002
- crystal system = monoclinic

=====

19.
A plane-wave DFT calculation with PBE was carried out for a relaxed BiPb2Br2O2 crystal.

Cell lengths 6.8810, 6.8810, 8.0956 Å; angles 123.72, 123.72, 37.12 degrees
Last column: nearest neighbours and their distance in Å.
Sites, in units of the cell vectors:
Bi1 0.0000 0.0000 0.0000  2 O 2.36
Pb1 0.1888 0.1888 0.7781  3 O 2.30-2.49
Pb2 0.8112 0.8112 0.2219  3 O 2.30-2.49
Br1 0.4388 0.4388 0.6980  2 Bi 3.02
Br2 0.5612 0.5612 0.3020  2 Bi 3.02
O1 0.2048 0.2048 0.0769  3 Pb 2.30-2.49, 1 Bi 2.36
O2 0.7952 0.7952 0.9231  3 Pb 2.30-2.49, 1 Bi 2.36

- raw formation energy (meV/atom) = -846
- crystal system = monoclinic

=====

20.
A plane-wave DFT calculation with PBE was carried out for a relaxed PmBi2BrO4 crystal.

Cell lengths 3.9656, 3.9656, 9.4043 Å; angles 90.00, 90.00, 90.00 degrees
Last column: nearest neighbours and their distance in Å.
Sites, in units of the cell vectors:
Pm1 0.0000 0.0000 0.0000  8 O 2.46
Bi1 0.5000 0.5000 0.2709  4 O 2.27
Bi2 0.5000 0.5000 0.7291  4 O 2.27
Br1 0.0000 0.0000 0.5000  8 Bi 3.54, 8 O 3.81
O1 0.0000 0.5000 0.1541  2 Bi 2.27, 2 Pm 2.46
O2 0.0000 0.5000 0.8459  2 Bi 2.27, 2 Pm 2.46
O3 0.5000 0.0000 0.1541  2 Bi 2.27, 2 Pm 2.46
O4 0.5000 0.0000 0.8459  2 Bi 2.27, 2 Pm 2.46

- raw formation energy (meV/atom) = -1957
- crystal system = tetragonal